Entry P
YNi3Mo | Alexandria | PBE-GGA | optimized geometry; density of states at the Fermi level = 4.92 states/eV/cell; size of the total moment = 3.79 Bohr magnetons per cell
1.0
4.602 0.000 0.000
0.000 4.602 0.000
0.000 0.000 4.602
Y Ni Mo
1 3 1
direct
0.000 0.000 0.000 Y
0.000 0.000 0.500 Ni
0.000 0.500 0.000 Ni
0.500 0.000 0.000 Ni
0.500 0.500 0.500 Mo

***

Entry Q
YNi3Mo | Alexandria | PBE-GGA | optimized geometry; density of states at the Fermi level = 4.56 states/eV/cell; size of the total moment = 0.00 Bohr magnetons per cell
1.0
4.535 0.000 0.000
0.000 4.535 0.000
0.000 0.000 4.535
Y Ni Mo
1 3 1
direct
0.000 0.000 0.000 Y
0.000 0.500 0.500 Ni
0.500 0.000 0.500 Ni
0.500 0.500 0.000 Ni
0.500 0.500 0.500 Mo

***

Verdict on stability: entry P comes out at the bottom.

***

Entry P
ZnNiMo | Alexandria | PBE-GGA | optimized geometry; density of states at the Fermi level = 2.27 states/eV/cell; size of the total moment = 0.00 Bohr magnetons per cell
1.0
4.231 0.000 0.000
-2.116 3.664 0.000
0.000 0.000 2.589
Zn Ni Mo
1 1 1
direct
0.000 0.000 0.000 Zn
0.667 0.333 0.000 Ni
0.333 0.667 0.500 Mo

***

Entry Q
ZnNiMo | Alexandria | PBE-GGA | optimized geometry; density of states at the Fermi level = 7.26 states/eV/cell; size of the total moment = 0.00 Bohr magnetons per cell
1.0
-1.542 1.542 9.696
1.542 -1.542 9.696
1.542 1.542 -9.696
Zn Ni Mo
2 2 2
direct
0.066 0.066 0.000 Zn
0.934 0.934 0.000 Zn
0.363 0.363 0.000 Ni
0.637 0.637 0.000 Ni
0.212 0.212 0.000 Mo
0.788 0.788 0.000 Mo

***

Verdict on stability: entry Q comes out at the bottom.

***

Entry P
Zn2Ni15Mo2 | Alexandria | PBE-GGA | optimized geometry; density of states at the Fermi level = 28.21 states/eV/cell; size of the total moment = 1.34 Bohr magnetons per cell
1.0
3.497 2.019 5.577
-3.497 2.019 5.577
0.000 -4.038 5.577
Zn Ni Mo
2 15 2
direct
0.081 0.081 0.081 Zn
0.919 0.919 0.919 Zn
0.000 0.000 0.500 Ni
0.000 0.325 0.675 Ni
0.000 0.500 0.000 Ni
0.000 0.675 0.325 Ni
0.201 0.570 0.570 Ni
0.325 0.000 0.675 Ni
0.325 0.675 0.000 Ni
0.430 0.430 0.799 Ni
0.430 0.799 0.430 Ni
0.500 0.000 0.000 Ni
0.570 0.201 0.570 Ni
0.570 0.570 0.201 Ni
0.675 0.000 0.325 Ni
0.675 0.325 0.000 Ni
0.799 0.430 0.430 Ni
0.268 0.268 0.268 Mo
0.732 0.732 0.732 Mo

***

Entry Q
Zn2Ni15Mo2 | Alexandria | PBE-GGA | optimized geometry; density of states at the Fermi level = 27.06 states/eV/cell; size of the total moment = 3.41 Bohr magnetons per cell
1.0
4.058 2.343 4.067
-4.058 2.343 4.067
0.000 -4.686 4.067
Zn Ni Mo
2 15 2
direct
0.104 0.104 0.104 Zn
0.896 0.896 0.896 Zn
0.000 0.000 0.500 Ni
0.000 0.330 0.670 Ni
0.000 0.500 0.000 Ni
0.000 0.670 0.330 Ni
0.169 0.662 0.662 Ni
0.330 0.000 0.670 Ni
0.330 0.670 0.000 Ni
0.338 0.338 0.831 Ni
0.338 0.831 0.338 Ni
0.500 0.000 0.000 Ni
0.662 0.169 0.662 Ni
0.662 0.662 0.169 Ni
0.670 0.000 0.330 Ni
0.670 0.330 0.000 Ni
0.831 0.338 0.338 Ni
0.392 0.392 0.392 Mo
0.608 0.608 0.608 Mo

***

Verdict on stability: entry P comes out at the bottom.